(1)
DFT (PBE-GGA) results for a relaxed Te3Ir crystal.

abc: 3.9417 3.9417 23.2532
angles: 90.00 90.00 120.00
With the nearest neighbours (Å) after each atom.
Space group R-3m (No. 166, hexagonal axes)
Inequivalent atoms, fractional coordinates:
Te: 0.0000 0.0000 0.0000 (multiplicity 3)  6 Te 3.34
Te: 0.0000 0.0000 0.2282 (multiplicity 6)  3 Ir 2.69
Ir: 0.0000 0.0000 0.5000 (multiplicity 3)  6 Te 2.69

## Properties
For the total energy, the calculation gives -4.581 eV per atom.


(2)
DFT (PBE-GGA) results for a relaxed ZrNbH4 crystal.

abc: 4.6417 4.6417 9.4941
angles: 90.00 90.00 90.00
With the nearest neighbours (Å) after each atom.
Space group I4_1/amd (No. 141, origin choice 2)
Inequivalent atoms, fractional coordinates:
Zr: 0.0000 0.2500 0.3750 (multiplicity 4)  8 H 2.06
Nb: 0.0000 0.2500 0.8750 (multiplicity 4)  8 H 1.99
H: 0.2363 0.0000 0.0000 (multiplicity 16)  2 Nb 1.99, 2 Zr 2.06, 1 H 2.19

## Properties
For the total energy, the calculation gives -5.745 eV per atom. The energy above the lowest structure with this stoichiometry is 0.000 eV/atom.


(3)
DFT (PBE-GGA) results for a relaxed Ac8LaDy5 crystal.

abc: 10.1926 10.1926 10.9718
angles: 90.00 90.00 90.00
With the nearest neighbours (Å) after each atom.
Space group I-4 (No. 82)
Inequivalent atoms, fractional coordinates:
Ac: 0.0695 0.3262 0.4040 (multiplicity 8)  5 Dy 3.56-3.89, 3 Ac 3.82-3.90
Ac: 0.0886 0.1813 0.7487 (multiplicity 8)  1 La 3.37, 4 Dy 3.42-3.68
La: 0.0000 0.5000 0.7500 (multiplicity 2)  4 Ac 3.37
Dy: 0.0000 0.0000 0.5000 (multiplicity 2)  8 Ac 3.42-3.56
Dy: 0.1039 0.1968 0.0717 (multiplicity 8)  8 Ac 3.55-3.89, 2 Dy 3.57

## Properties
For the total energy, the calculation gives -4.093 eV per atom. As for the formation energy: 0.25 eV per atom.


(4)
DFT (PBE-GGA) results for a relaxed ZrCuTe2 crystal.

abc: 7.1564 7.1564 7.1564
angles: 90.00 90.00 90.00
With the nearest neighbours (Å) after each atom.
Space group F-43m (No. 216)
Inequivalent atoms, fractional coordinates:
Zr: 0.0000 0.0000 0.0000 (multiplicity 4)  4 Te 3.10, 4 Cu 3.10
Cu: 0.2500 0.2500 0.2500 (multiplicity 4)  4 Zr 3.10, 4 Te 3.10
Te: 0.0000 0.0000 0.5000 (multiplicity 4)  4 Cu 3.10, 4 Te 3.10
Te: 0.2500 0.2500 0.7500 (multiplicity 4)  4 Te 3.10, 4 Zr 3.10

## Properties
For the total energy, the calculation gives -4.544 eV per atom.


(5)
DFT (PBE-GGA) results for a relaxed Ca3HoTm2Se6 crystal.

abc: 7.0772 12.2435 7.1859
angles: 90.00 109.20 90.00
With the nearest neighbours (Å) after each atom.
Space group C2/m (No. 12)
Inequivalent atoms, fractional coordinates:
Ca: 0.0000 0.0000 0.0000 (multiplicity 2)  6 Se 2.93-2.94
Ca: 0.0000 0.3340 0.0000 (multiplicity 4)  6 Se 2.93-2.95
Ho: 0.0000 0.5000 0.5000 (multiplicity 2)  6 Se 2.89
Tm: 0.0000 0.1669 0.5000 (multiplicity 4)  6 Se 2.86-2.87
Se: 0.2448 0.0000 0.7417 (multiplicity 4)  2 Tm 2.87, 1 Ho 2.89, 3 Ca 2.93-2.94
Se: 0.2485 0.3322 0.7420 (multiplicity 8)  2 Tm 2.86-2.87, 1 Ho 2.89, 3 Ca 2.93-2.95

## Properties
For the total energy, the calculation gives -5.214 eV per atom.


(6)
DFT (PBE-GGA) results for a relaxed ReP3 crystal.

abc: 7.1758 7.1758 3.9709
angles: 90.00 90.00 120.00
With the nearest neighbours (Å) after each atom.
Space group R-3m (No. 166, hexagonal axes)
Inequivalent atoms, fractional coordinates:
Re: 0.0000 0.0000 0.0000 (multiplicity 3)  6 P 2.46
P: 0.0000 0.5000 0.0000 (multiplicity 9)  4 P 2.46, 2 Re 2.46

## Properties
For the total energy, the calculation gives -6.825 eV per atom. As for the formation energy: 0.34 eV per atom. The energy above the lowest structure with this stoichiometry is 0.679 eV/atom.